## NpZnIO6 (GGA-PBE)

Data for a relaxed structure of NpZnIO6.

Cell and atoms, written as POSCAR:
```
NpZnIO6
1.0
5.592 0.000 0.000
-2.796 4.843 0.000
0.000 0.000 9.011
Np Zn I O
2 2 2 12
Direct
0.333 0.667 0.250
0.667 0.333 0.750
0.000 0.000 0.000
0.000 0.000 0.500
0.333 0.667 0.750
0.667 0.333 0.250
0.003 0.342 0.630
0.003 0.662 0.870
0.338 0.342 0.870
0.338 0.997 0.630
0.342 0.003 0.130
0.342 0.338 0.370
0.658 0.662 0.630
0.658 0.997 0.870
0.662 0.003 0.370
0.662 0.658 0.130
0.997 0.338 0.130
0.997 0.658 0.370
```

Calculated values
- energy (eV/atom) = -6.40
- space group = P-31c, No. 163
- uncorrected formation energy (eV/f.u.) = -12.1